# 1
VASP calculation (PBEsol) on crystalline RbAlF4 at its relaxed geometry.

The structure belongs to space group P4/mmm (No. 123); the cell edges are 3.663, 3.663 and 6.263 Å and the angles 90.00°, 90.00° and 90.00°. Symmetry generates all atoms from Rb at (0.000, 0.000, 0.000), Al at (0.500, 0.500, 0.500), F at (0.000, 0.500, 0.500) and F at (0.500, 0.500, 0.217).

The raw total energy comes out at -33.12 eV/cell. Its mass density is 3.723 g cm⁻³. Its crystal system is tetragonal.

***

# 2
VASP calculation (PBEsol) on crystalline LaTl2Au at its relaxed geometry.

The structure belongs to space group F-43m (No. 216); the cell edges are 7.364, 7.364 and 7.364 Å and the angles 90.00°, 90.00° and 90.00°. Symmetry generates all atoms from La at (0.000, 0.000, 0.000), Tl at (0.000, 0.000, 0.500), Tl at (0.250, 0.250, 0.750) and Au at (0.250, 0.250, 0.250).

The formation energy is -432 meV/atom. The offset from the most stable computed form comes out at 0 meV per atom. Its mass density is 12.384 g cm⁻³. Its crystal system is cubic.

***

# 3
VASP calculation (PBEsol) on crystalline CrHI2N at its relaxed geometry.

The structure belongs to space group P4/mmm (No. 123); the cell edges are 5.652, 5.652 and 2.968 Å and the angles 90.00°, 90.00° and 90.00°. Symmetry generates all atoms from Cr at (0.000, 0.000, 0.000), H at (0.500, 0.500, 0.500), I at (0.000, 0.500, 0.500) and N at (0.500, 0.500, 0.000).

The raw total energy comes out at -19.59 eV/cell. Its mass density is 5.620 g cm⁻³. Its crystal system is tetragonal.

***

# 4
VASP calculation (PBEsol) on crystalline WI2NO at its relaxed geometry.

The structure belongs to space group P4/mmm (No. 123); the cell edges are 4.805, 4.805 and 3.400 Å and the angles 90.00°, 90.00° and 90.00°. Symmetry generates all atoms from W at (0.000, 0.000, 0.000), I at (0.000, 0.500, 0.500), N at (0.500, 0.500, 0.500) and O at (0.500, 0.500, 0.000).

The raw total energy comes out at -23.25 eV/cell. Its mass density is 9.894 g cm⁻³. Its crystal system is tetragonal.

***

# 5
VASP calculation (PBEsol) on crystalline Zn2FeSe at its relaxed geometry.

The structure belongs to space group Imm2 (No. 44); the cell edges are 2.750, 4.077 and 11.178 Å and the angles 90.00°, 90.00° and 90.00°. Symmetry generates all atoms from Zn at (0.000, 0.000, 0.000), Zn at (0.000, 0.500, 0.153), Fe at (0.000, 0.500, 0.687) and Se at (0.000, 0.000, 0.351).

The raw total energy comes out at -31.81 eV/cell. Its mass density is 7.039 g cm⁻³. Its crystal system is orthorhombic.

***

# 6
VASP calculation (PBEsol) on crystalline CsTlOs2 at its relaxed geometry.

The structure belongs to space group Fm-3m (No. 225); the cell edges are 6.791, 6.791 and 6.791 Å and the angles 90.00°, 90.00° and 90.00°. Symmetry generates all atoms from Cs at (0.000, 0.000, 0.000), Tl at (0.000, 0.000, 0.500) and Os at (0.250, 0.250, 0.250).

The formation energy is 2170 meV/atom. Its mass density is 15.221 g cm⁻³. Its crystal system is cubic.